PBE Ba3Hg9Sb2, relaxed; total moment = 0.0 μB/f.u.; space-group type = No. 71; raw formation energy = -543 kJ/mol of formula units; energy = -1.597 eV/atom; Fermi-level density of states = 6.25 states/eV per cell
1.0
4.840 0.000 1.350
1.625 9.029 3.525
-0.134 -0.141 9.826
Ba Hg Sb
3 9 2
direct
0.000 0.000 0.000
0.673 0.327 0.327
0.327 0.673 0.673
0.000 0.500 0.500
0.682 0.949 0.687
0.318 0.051 0.313
0.682 0.687 0.949
0.318 0.313 0.051
0.869 0.854 0.407
0.131 0.146 0.593
0.869 0.407 0.854
0.131 0.593 0.146
0.500 0.257 0.743
0.500 0.743 0.257

PBE Na4Zr3CrSe8, relaxed; total moment = 3.9 μB/f.u.; space-group type = No. 166; raw formation energy = -1811 kJ/mol of formula units; energy = -5.449 eV/atom; Fermi-level density of states = 8.32 states/eV per cell
1.0
7.736 0.000 0.000
0.000 8.366 0.437
-3.868 -3.862 5.474
Na Zr Cr Se
4 3 1 8
direct
0.500 0.000 0.000
0.500 0.000 0.500
0.000 0.000 0.000
0.000 0.000 0.500
0.500 0.500 0.000
0.500 0.500 0.500
0.000 0.500 0.500
0.000 0.500 0.000
0.236 0.719 0.983
0.236 0.719 0.473
0.257 0.273 0.515
0.747 0.719 0.983
0.253 0.281 0.017
0.743 0.727 0.485
0.764 0.281 0.527
0.764 0.281 0.017

PBE Tl3GeO3, relaxed; total moment = 0.0 μB/f.u.; space-group type = No. 63; raw formation energy = -549 kJ/mol of formula units; energy = -4.612 eV/atom; Fermi-level density of states = 2.20 states/eV per cell
1.0
6.036 0.000 0.000
0.000 7.993 0.005
0.000 -3.978 6.932
Tl Ge O
6 2 6
direct
0.250 0.643 0.822
0.250 0.178 0.357
0.250 0.178 0.823
0.750 0.357 0.178
0.750 0.822 0.643
0.750 0.822 0.177
0.750 0.333 0.667
0.250 0.667 0.333
0.750 0.584 0.792
0.750 0.208 0.416
0.750 0.207 0.793
0.250 0.416 0.208
0.250 0.792 0.584
0.250 0.793 0.207

PBE Fe2AuSe, relaxed; total moment = 5.3 μB/f.u.; space-group type = No. 123; raw formation energy = 110 kJ/mol of formula units; energy = -5.636 eV/atom; Fermi-level density of states = 3.16 states/eV per cell
1.0
4.513 0.000 0.000
0.000 4.513 0.000
0.000 0.000 2.957
Au Fe Se
1 2 1
direct
0.000 0.500 0.500
0.000 0.000 0.000
0.500 0.500 0.000
0.500 0.000 0.500

PBE Sc3TeCl, relaxed; total moment = 0.0 μB/f.u.; space-group type = No. 221; raw formation energy = -223 kJ/mol of formula units; energy = -5.258 eV/atom; Fermi-level density of states = 5.68 states/eV per cell
1.0
4.800 0.000 0.000
0.000 4.800 0.000
0.000 0.000 4.800
Sc Te Cl
3 1 1
direct
0.000 0.500 0.000
0.000 0.000 0.500
0.500 0.000 0.000
0.500 0.500 0.500
0.000 0.000 0.000

PBE Ac2PmSn4Rh3, relaxed; total moment = 0.0 μB/f.u.; space-group type = No. 115; E_form = -6.8 eV/f.u.; energy = -5.782 eV/atom; Fermi-level density of states = 6.77 states/eV per cell
1.0
-2.367 3.869 -0.308
-1.195 -0.383 4.369
10.004 6.381 3.294
Ac Pm Sn Rh
2 1 4 3
direct
0.500 0.000 0.227
0.000 0.500 0.773
0.500 0.500 0.500
0.500 0.500 0.000
0.000 0.000 0.000
0.500 0.000 0.665
0.000 0.500 0.335
0.000 0.000 0.500
0.500 0.000 0.881
0.000 0.500 0.119

PBE CaEr2TmRh4, relaxed; total moment = 0.0 μB/f.u.; space-group type = No. 166; E_form = -6.6 eV/f.u.; energy = -6.444 eV/atom; Fermi-level density of states = 2.64 states/eV per cell
1.0
4.791 0.000 0.000
2.395 4.149 0.000
2.395 1.383 7.848
Ca Er Tm Rh
1 2 1 4
direct
0.000 0.000 0.000
0.749 0.749 0.754
0.251 0.251 0.246
0.500 0.500 0.500
0.378 0.378 0.865
0.872 0.872 0.384
0.128 0.128 0.616
0.622 0.622 0.135